Below is a relaxed In2Ni crystal, with properties calculated at the PBEsol level.

Cell: 3.0594 3.0594 6.2692 Å, 104.12 104.12 90.00°
Element x y z (fractional)
In 0.6380 0.6380 0.2759
In 0.3620 0.3620 0.7241
Ni 0.0000 0.0000 0.0000

Calculated values
SG	No. 139



Below is a relaxed In3Ni2 crystal, with properties calculated at the PBEsol level.

Cell: 3.3040 3.9992 6.9501 Å, 106.72 90.00 90.00°
Element x y z (fractional)
In 0.5000 0.6495 0.2991
In 0.0000 0.0000 0.0000
Ni 0.0000 0.8101 0.6202
In 0.5000 0.3505 0.7009
Ni 0.0000 0.1899 0.3798

Calculated values
SG	No. 65



Below is a relaxed InNi4 crystal, with properties calculated at the PBEsol level.

Cell: 3.6618 4.4430 4.4430 Å, 80.22 65.66 65.66°
Each line ends with the local moment (μB).
Element x y z (fractional)
Ni 0.4091 0.7807 0.4011  0.10
Ni 0.8102 0.5989 0.7807  0.10
Ni 0.5909 0.2193 0.5989  0.10
In 0.0000 0.0000 0.0000  -0.01
Ni 0.1898 0.4011 0.2193  0.10

Calculated values
SG	No. 87



Below is a relaxed InNi2 crystal, with properties calculated at the PBEsol level.

Cell: 3.0839 3.0839 4.7206 Å, 109.07 109.07 90.00°
Element x y z (fractional)
Ni 0.1762 0.1762 0.3524
In 0.5000 0.5000 0.0000
Ni 0.8238 0.8238 0.6476

Calculated values
SG	No. 139



Below is a relaxed InNi2 crystal, with properties calculated at the PBEsol level.

Cell: 3.5594 3.8945 6.0232 Å, 90.00 107.19 90.00°
Element x y z (fractional)
Ni 0.0903 0.7500 0.1806
Ni 0.9097 0.2500 0.8194
Ni 0.2522 0.2500 0.5044
In 0.5945 0.2500 0.1890
In 0.4055 0.7500 0.8110
Ni 0.7478 0.7500 0.4956

Calculated values
SG	No. 63



Below is a relaxed In2Ni crystal, with properties calculated at the PBEsol level.

Cell: 3.1811 3.1811 6.4216 Å, 90.00 90.00 120.00°
Element x y z (fractional)
Ni 0.0000 0.0000 0.0000
In 0.3333 0.6667 0.2920
In 0.6667 0.3333 0.7080

Calculated values
SG	No. 164



no.,total energy (eV/atom),total moment (Bohr magnetons per cell)
1,-4.034,0.00
2,-4.358,0.00
3,-5.566,0.39
4,-5.142,0.00
5,-5.169,0.00
6,-3.979,0.00